# RhSe3

RhSe3 after structural relaxation (PBEsol, Alexandria).

Formation energy without anion corrections, eV per atom: 0.08
E, Ry per atom: -0.35597
Total magnetization, μB per formula unit: 0.00

Cell: 3.4735 3.4735 7.2842 Å, 90.00 90.00 120.00°
With the nearest neighbours (Å) after each atom.
Positions (direct):
Se (0.3333, 0.6667, 0.2115)  3 Rh 2.53
Se (0.3333, 0.6667, 0.7885)  3 Rh 2.53
Se (0.0000, 0.0000, 0.5000)  6 Se 2.90
Rh (0.0000, 0.0000, 0.0000)  6 Se 2.53


# Rh2Se

Rh2Se after structural relaxation (PBEsol, Alexandria).

Formation energy without anion corrections, eV per atom: 0.45
E, Ry per atom: -0.46011
E above lowest polymorph, meV/atom: 642.6
Total magnetization, μB per formula unit: 0.00

Cell: 2.8610 4.2912 4.2912 Å, 120.00 90.00 90.00°
With the nearest neighbours (Å) after each atom.
Positions (direct):
Rh (0.5000, 0.6667, 0.3333)  3 Rh 2.48
Rh (0.5000, 0.3333, 0.6667)  3 Rh 2.48
Se (0.0000, 0.0000, 0.0000)  12 Rh 2.86, 2 Se 2.86


# RhSe2

RhSe2 after structural relaxation (PBEsol, Alexandria).

Formation energy without anion corrections, eV per atom: -0.25
E, Ry per atom: -0.40606
Total magnetization, μB per formula unit: 0.00

Cell: 3.4150 6.1159 6.0040 Å, 96.98 90.00 106.21°
With the nearest neighbours (Å) after each atom.
Positions (direct):
Rh (0.4411, 0.8821, 0.6121)  5 Se 2.40-2.47
Rh (0.0161, 0.0323, 0.0037)  6 Se 2.47-2.51
Se (0.3625, 0.7250, 0.9711)  3 Rh 2.45-2.47
Se (0.8180, 0.6360, 0.4335)  2 Rh 2.40
Se (0.6322, 0.2644, 0.8383)  3 Rh 2.47
Se (0.5635, 0.1269, 0.3079)  3 Rh 2.46-2.51


# Rh3Se

Rh3Se after structural relaxation (PBEsol, Alexandria).

Formation energy without anion corrections, eV per atom: 1.20
E, Ry per atom: -0.43094
Total magnetization, μB per formula unit: 0.02

Cell: 4.5063 4.5063 4.5063 Å, 90.00 90.00 90.00°
With the nearest neighbours (Å) after each atom.
Positions (direct):
Rh (0.5000, 0.0000, 0.0000)  2 Se 2.25
Rh (0.0000, 0.5000, 0.0000)  2 Se 2.25
Rh (0.0000, 0.0000, 0.5000)  2 Se 2.25
Se (0.0000, 0.0000, 0.0000)  6 Rh 2.25


# Rh2Se

Rh2Se after structural relaxation (PBEsol, Alexandria).

Formation energy without anion corrections, eV per atom: 0.14
E, Ry per atom: -0.48300
E above lowest polymorph, meV/atom: 331.1
Total magnetization, μB per formula unit: 0.00

Cell: 5.0952 5.0952 5.0952 Å, 91.16 119.33 119.33°
With the nearest neighbours (Å) after each atom.
Positions (direct):
Se (0.0000, 0.7500, 0.7500)  8 Rh 2.59
Se (0.0000, 0.2500, 0.2500)  8 Rh 2.59
Rh (0.5000, 0.6864, 0.8136)  4 Se 2.59, 5 Rh 2.66-2.71
Rh (0.5000, 0.3136, 0.1864)  4 Se 2.59, 5 Rh 2.66-2.71
Rh (0.1273, 0.8136, 0.3136)  4 Se 2.59, 5 Rh 2.66-2.71
Rh (0.8727, 0.1864, 0.6864)  4 Se 2.59, 5 Rh 2.66-2.71


# RhSe2

RhSe2 after structural relaxation (PBEsol, Alexandria).

Formation energy without anion corrections, eV per atom: -0.46
E, Ry per atom: -0.42183
Total magnetization, μB per formula unit: 0.00

Cell: 5.9873 5.9873 5.9873 Å, 90.00 90.00 90.00°
With the nearest neighbours (Å) after each atom.
Positions (direct):
Se (0.3754, 0.3754, 0.3754)  3 Rh 2.48, 1 Se 2.58
Se (0.6246, 0.6246, 0.6246)  3 Rh 2.48, 1 Se 2.58
Se (0.3754, 0.1246, 0.8754)  3 Rh 2.48, 1 Se 2.58
Se (0.1246, 0.8754, 0.3754)  3 Rh 2.48, 1 Se 2.58
Se (0.6246, 0.8754, 0.1246)  3 Rh 2.48, 1 Se 2.58
Se (0.8754, 0.1246, 0.6246)  3 Rh 2.48, 1 Se 2.58
Se (0.8754, 0.3754, 0.1246)  3 Rh 2.48, 1 Se 2.58
Se (0.1246, 0.6246, 0.8754)  3 Rh 2.48, 1 Se 2.58
Rh (0.5000, 0.5000, 0.0000)  6 Se 2.48
Rh (0.5000, 0.0000, 0.5000)  6 Se 2.48
Rh (0.0000, 0.5000, 0.5000)  6 Se 2.48
Rh (0.0000, 0.0000, 0.0000)  6 Se 2.48


# RhSe2

RhSe2 after structural relaxation (PBEsol, Alexandria).

Formation energy without anion corrections, eV per atom: -0.48
E, Ry per atom: -0.42298
Total magnetization, μB per formula unit: 0.00

Cell: 3.7285 5.9193 20.7317 Å, 90.00 90.00 90.00°
With the nearest neighbours (Å) after each atom.
Positions (direct):
Rh (0.7500, 0.9262, 0.1935)  6 Se 2.41-2.49
Rh (0.7500, 0.5738, 0.6935)  6 Se 2.41-2.49
Rh (0.7500, 0.5848, 0.9250)  6 Se 2.43-2.51
Rh (0.7500, 0.9152, 0.4250)  6 Se 2.43-2.51
Rh (0.2500, 0.4262, 0.3065)  6 Se 2.41-2.49
Rh (0.2500, 0.0738, 0.8065)  6 Se 2.41-2.49
Rh (0.2500, 0.0848, 0.5750)  6 Se 2.43-2.51
Rh (0.2500, 0.4152, 0.0750)  6 Se 2.43-2.51
Se (0.2500, 0.8022, 0.2618)  3 Rh 2.41-2.45, 1 Se 2.53
Se (0.7500, 0.5334, 0.3801)  3 Rh 2.44-2.49
Se (0.2500, 0.7279, 0.9950)  3 Rh 2.49-2.51
Se (0.2500, 0.0334, 0.1199)  3 Rh 2.44-2.49
Se (0.7500, 0.3022, 0.2382)  3 Rh 2.41-2.45, 1 Se 2.53
Se (0.7500, 0.2721, 0.0050)  3 Rh 2.49-2.51
Se (0.7500, 0.1978, 0.7382)  3 Rh 2.41-2.45, 1 Se 2.53
Se (0.2500, 0.4460, 0.8607)  3 Rh 2.43-2.47, 1 Se 2.53
Se (0.2500, 0.7721, 0.4950)  3 Rh 2.49-2.51
Se (0.7500, 0.2279, 0.5050)  3 Rh 2.49-2.51
Se (0.7500, 0.9666, 0.8801)  3 Rh 2.44-2.49
Se (0.2500, 0.0540, 0.3607)  3 Rh 2.43-2.47, 1 Se 2.53
Se (0.7500, 0.5540, 0.1393)  3 Rh 2.43-2.47, 1 Se 2.53
Se (0.7500, 0.9460, 0.6393)  3 Rh 2.43-2.47, 1 Se 2.53
Se (0.2500, 0.6978, 0.7618)  3 Rh 2.41-2.45, 1 Se 2.53
Se (0.2500, 0.4666, 0.6199)  3 Rh 2.44-2.49


# SiRhSe

SiRhSe after structural relaxation (PBEsol, Alexandria).

Formation energy without anion corrections, eV per atom: -0.09
E, Ry per atom: -0.44091
Total magnetization, μB per formula unit: 0.00

Cell: 2.8752 2.8757 5.9536 Å, 103.98 103.97 90.00°
With the nearest neighbours (Å) after each atom.
Positions (direct):
Se (0.6570, 0.6570, 0.3141)  4 Rh 2.81, 4 Se 2.88, 4 Si 3.05
Rh (0.9832, 0.9832, 0.9664)  4 Si 2.46
Si (0.3598, 0.3598, 0.7196)  4 Rh 2.46


# SiRhSe3

SiRhSe3 after structural relaxation (PBEsol, Alexandria).

Formation energy without anion corrections, eV per atom: 0.55
E, Ry per atom: -0.33328
Total magnetization, μB per formula unit: 0.00

Cell: 4.7889 4.7889 4.7889 Å, 90.00 90.00 90.00°
With the nearest neighbours (Å) after each atom.
Positions (direct):
Se (0.0000, 0.5000, 0.0000)  2 Rh 2.39
Se (0.5000, 0.0000, 0.0000)  2 Rh 2.39
Se (0.0000, 0.0000, 0.5000)  2 Rh 2.39
Rh (0.0000, 0.0000, 0.0000)  6 Se 2.39
Si (0.5000, 0.5000, 0.5000)  12 Se 3.39


# SiRhSe

SiRhSe after structural relaxation (PBEsol, Alexandria).

Formation energy without anion corrections, eV per atom: 0.38
E, Ry per atom: -0.40636
Total magnetization, μB per formula unit: 0.00

Cell: 4.1870 4.1870 4.1870 Å, 60.00 60.00 60.00°
With the nearest neighbours (Å) after each atom.
Positions (direct):
Se (0.2500, 0.2500, 0.2500)  4 Si 2.56, 4 Rh 2.56
Si (0.0000, 0.0000, 0.0000)  4 Se 2.56
Rh (0.5000, 0.5000, 0.5000)  4 Se 2.56


# SiRhSe

SiRhSe after structural relaxation (PBEsol, Alexandria).

Formation energy without anion corrections, eV per atom: -0.24
E, Ry per atom: -0.45225
Total magnetization, μB per formula unit: 0.00

Cell: 3.2188 3.2188 5.1629 Å, 90.00 90.00 120.00°
With the nearest neighbours (Å) after each atom.
Positions (direct):
Si (0.6667, 0.3333, 0.3176)  3 Rh 2.39, 3 Se 2.55
Rh (0.0000, 0.0000, 0.0260)  3 Si 2.39, 3 Se 2.66
Se (0.3333, 0.6667, 0.6564)  3 Si 2.55, 3 Rh 2.66


# SrRhSe

SrRhSe after structural relaxation (PBEsol, Alexandria).

Formation energy without anion corrections, eV per atom: -0.50
E, Ry per atom: -0.37563
E above lowest polymorph, meV/atom: 462.3
Total magnetization, μB per formula unit: 0.00

Cell: 3.5466 3.5466 5.7582 Å, 107.94 107.94 90.00°
With the nearest neighbours (Å) after each atom.
Positions (direct):
Rh (0.9500, 0.9500, 0.9000)  4 Se 2.60
Sr (0.6671, 0.6671, 0.3343)  1 Rh 2.93, 1 Se 2.95
Se (0.3829, 0.3829, 0.7658)  4 Rh 2.60